Record 1
Compound: BaTaCdC2
Source: the Alexandria database
Functional: GGA-PBEsol
Structure: optimized geometry

a b c (Å): 4.356 4.356 5.248
angles (deg): 90.00 90.00 90.00
Atoms (fractional coordinates):
C: 0.000 0.500 0.000
C: 0.500 0.000 0.000
Cd: 0.000 0.000 0.500
Ba: 0.500 0.500 0.500
Ta: 0.000 0.000 0.000

Computed properties:
Space-group type: P4/mmm (123)



Record 2
Compound: BaZrFe2
Source: the Alexandria database
Functional: GGA-PBEsol
Structure: optimized geometry

a b c (Å): 3.164 3.164 8.334
angles (deg): 90.00 90.00 90.00
Site moments in Bohr magnetons follow the coordinates.
Atoms (fractional coordinates):
Ba: 0.500 0.500 0.794  -0.05
Fe: 0.000 0.000 0.086  2.64
Fe: 0.500 0.500 0.220  2.00
Zr: 0.000 0.000 0.400  -0.15

Computed properties:
Space-group type: P4mm (99)
Relative energy among the computed polymorphs, meV per atom: 31



Record 3
Compound: NaBe2H
Source: the Alexandria database
Functional: GGA-PBEsol
Structure: optimized geometry

a b c (Å): 4.125 4.125 4.125
angles (deg): 60.00 60.00 60.00
Atoms (fractional coordinates):
Na: 0.500 0.500 0.500
Be: 0.250 0.250 0.250
Be: 0.750 0.750 0.750
H: 0.000 0.000 0.000

Computed properties:
Space-group type: Fm-3m (225)



Record 4
Compound: BaMn2Pb
Source: the Alexandria database
Functional: GGA-PBEsol
Structure: optimized geometry

a b c (Å): 4.540 4.540 6.647
angles (deg): 70.03 70.03 60.00
Site moments in Bohr magnetons follow the coordinates.
Atoms (fractional coordinates):
Ba: 0.258 0.258 0.226  -0.09
Mn: 0.059 0.059 0.822  3.47
Mn: 0.730 0.730 0.809  3.46
Pb: 0.454 0.454 0.639  -0.07

Computed properties:
Space-group type: R3m (160)



Record 5
Compound: SrIn
Source: the Alexandria database
Functional: GGA-PBEsol
Structure: optimized geometry

a b c (Å): 4.011 5.577 6.684
angles (deg): 114.66 107.46 90.00
Atoms (fractional coordinates):
Sr: 0.397 0.147 0.794
Sr: 0.603 0.853 0.206
In: 0.844 0.594 0.688
In: 0.156 0.406 0.312

Computed properties:
Space-group type: Imma (74)



Record 6
Compound: Ga2Fe2Au
Source: the Alexandria database
Functional: GGA-PBEsol
Structure: optimized geometry

a b c (Å): 3.565 3.565 6.227
angles (deg): 106.63 106.63 90.00
Site moments in Bohr magnetons follow the coordinates.
Atoms (fractional coordinates):
Au: 0.000 0.000 0.000  0.03
Fe: 0.404 0.404 0.807  2.12
Fe: 0.596 0.596 0.193  2.12
Ga: 0.250 0.750 0.500  -0.09
Ga: 0.750 0.250 0.500  -0.09

Computed properties:
Space-group type: I4/mmm (139)



Record 7
Compound: CrSiMo2
Source: the Alexandria database
Functional: GGA-PBEsol
Structure: optimized geometry

a b c (Å): 3.073 4.208 4.208
angles (deg): 97.94 90.00 90.00
Atoms (fractional coordinates):
Cr: 0.500 0.500 0.500
Mo: 0.000 0.500 0.000
Mo: 0.000 0.000 0.500
Si: 0.500 0.000 0.000

Computed properties:
Space-group type: Cmmm (65)
Formation energy (no corrections), eV per atom: -0.044



Record 8
Compound: TaSi2
Source: the Alexandria database
Functional: GGA-PBEsol
Structure: optimized geometry

a b c (Å): 3.311 4.817 6.535
angles (deg): 109.63 90.00 110.10
Atoms (fractional coordinates):
Si: 0.970 0.940 0.683
Si: 0.650 0.299 0.037
Si: 0.350 0.701 0.963
Si: 0.030 0.060 0.317
Ta: 0.321 0.642 0.355
Ta: 0.679 0.358 0.645

Computed properties:
Space-group type: C2/m (12)
Formation energy (no corrections), eV per atom: -0.367



Record 9
Compound: TaTcAg2
Source: the Alexandria database
Functional: GGA-PBEsol
Structure: optimized geometry

a b c (Å): 2.656 2.656 9.276
angles (deg): 90.00 90.00 102.50
Atoms (fractional coordinates):
Ag: 0.000 0.000 0.246
Ag: 0.000 0.000 0.754
Ta: 0.500 0.500 0.500
Tc: 0.500 0.500 0.000

Computed properties:
Space-group type: Cmmm (65)
Relative energy among the computed polymorphs, meV per atom: 215



Record 10
Compound: YTa2Tc
Source: the Alexandria database
Functional: GGA-PBEsol
Structure: optimized geometry

a b c (Å): 3.192 3.192 7.435
angles (deg): 90.00 90.00 90.00
Atoms (fractional coordinates):
Ta: 0.000 0.000 0.035
Ta: 0.500 0.500 0.274
Tc: 0.000 0.000 0.461
Y: 0.500 0.500 0.729

Computed properties:
Space-group type: P4mm (99)
Relative energy among the computed polymorphs, meV per atom: 0



Record 11
Compound: LaBe2Tc
Source: the Alexandria database
Functional: GGA-PBEsol
Structure: optimized geometry

a b c (Å): 3.605 4.789 4.789
angles (deg): 62.61 67.89 67.89
Atoms (fractional coordinates):
Be: 0.031 0.969 0.969
Be: 0.666 0.834 0.834
Tc: 0.331 0.169 0.169
La: 0.473 0.527 0.527

Computed properties:
Space-group type: Imm2 (44)
Relative energy among the computed polymorphs, meV per atom: 0



Record 12
Compound: CuP4Se3I
Source: the Alexandria database
Functional: GGA-PBEsol
Structure: optimized geometry

a b c (Å): 7.650 10.622 11.697
angles (deg): 90.00 109.09 90.00
Atoms (fractional coordinates):
Cu: 0.690 0.000 0.000
Cu: 0.190 0.500 0.000
Cu: 0.310 0.000 0.000
Cu: 0.810 0.500 0.000
P: 0.224 0.966 0.448
P: 0.776 0.034 0.552
P: 0.276 0.466 0.552
P: 0.724 0.534 0.448
P: 0.117 0.213 0.235
P: 0.883 0.787 0.765
P: 0.383 0.713 0.765
P: 0.617 0.287 0.235
P: 0.936 0.043 0.162
P: 0.773 0.957 0.838
P: 0.273 0.543 0.838
P: 0.436 0.457 0.162
P: 0.064 0.957 0.838
P: 0.227 0.043 0.162
P: 0.727 0.457 0.162
P: 0.564 0.543 0.838
Se: 0.935 0.924 0.321
Se: 0.614 0.076 0.679
Se: 0.114 0.424 0.679
Se: 0.435 0.576 0.321
Se: 0.065 0.076 0.679
Se: 0.386 0.924 0.321
Se: 0.886 0.576 0.321
Se: 0.565 0.424 0.679
Se: 0.218 0.181 0.437
Se: 0.782 0.819 0.563
Se: 0.282 0.681 0.563
Se: 0.718 0.319 0.437
I: 0.467 0.190 0.934
I: 0.533 0.810 0.066
I: 0.033 0.690 0.066
I: 0.967 0.310 0.934

Computed properties:
Space-group type: Cmce (64)
Formation energy (no corrections), eV per atom: -0.072



Record 13
Compound: YGe3Au
Source: the Alexandria database
Functional: GGA-PBEsol
Structure: optimized geometry

a b c (Å): 5.266 5.266 5.266
angles (deg): 90.00 90.00 90.00
Atoms (fractional coordinates):
Y: 0.000 0.000 0.000
Ge: 0.000 0.500 0.000
Ge: 0.000 0.000 0.500
Ge: 0.500 0.000 0.000
Au: 0.500 0.500 0.500

Computed properties:
Space-group type: Pm-3m (221)



Record 14
Compound: Tl2FeTc
Source: the Alexandria database
Functional: GGA-PBEsol
Structure: optimized geometry

a b c (Å): 2.950 2.968 8.434
angles (deg): 90.00 100.03 90.00
Site moments in Bohr magnetons follow the coordinates.
Atoms (fractional coordinates):
Fe: 0.584 0.000 0.543  1.40
Tc: 0.161 0.500 0.697  -0.12
Tl: 0.789 0.000 0.955  -0.01
Tl: 0.965 0.500 0.305  -0.01

Computed properties:
Space-group type: Amm2 (38)
Relative energy among the computed polymorphs, meV per atom: 0



Record 15
Compound: CaHg2Br
Source: the Alexandria database
Functional: GGA-PBEsol
Structure: optimized geometry

a b c (Å): 5.241 5.241 5.241
angles (deg): 60.00 60.00 60.00
Atoms (fractional coordinates):
Ca: 0.250 0.250 0.250
Hg: 0.000 0.000 0.000
Hg: 0.750 0.750 0.750
Br: 0.500 0.500 0.500

Computed properties:
Space-group type: F-43m (216)
Relative energy among the computed polymorphs, meV per atom: 53
Formation energy (no corrections), eV per atom: -0.615



Record 16
Compound: GaB3Au
Source: the Alexandria database
Functional: GGA-PBEsol
Structure: optimized geometry

a b c (Å): 4.093 4.093 4.093
angles (deg): 90.00 90.00 90.00
Atoms (fractional coordinates):
B: 0.000 0.500 0.000
B: 0.000 0.000 0.500
B: 0.500 0.000 0.000
Au: 0.500 0.500 0.500
Ga: 0.000 0.000 0.000

Computed properties:
Space-group type: Pm-3m (221)



Record 17
Compound: IrRh2
Source: the Alexandria database
Functional: GGA-PBEsol
Structure: optimized geometry

a b c (Å): 2.685 2.685 5.996
angles (deg): 102.94 102.94 90.00
Atoms (fractional coordinates):
Ir: 0.000 0.000 0.000
Rh: 0.335 0.335 0.670
Rh: 0.665 0.665 0.330

Computed properties:
Space-group type: I4/mmm (139)
Relative energy among the computed polymorphs, meV per atom: 8



Record 18
Compound: ReTe2Se
Source: the Alexandria database
Functional: GGA-PBEsol
Structure: optimized geometry

a b c (Å): 6.928 6.764 6.928
angles (deg): 59.19 90.00 120.81
Atoms (fractional coordinates):
Re: 0.750 0.500 0.750
Re: 0.000 0.000 0.000
Te: 0.670 0.750 0.375
Te: 0.080 0.750 0.875
Te: 0.875 0.250 0.670
Te: 0.375 0.250 0.080
Se: 0.250 0.500 0.250
Se: 0.500 0.000 0.500

Computed properties:
Space-group type: I-42d (122)
Formation energy (no corrections), eV per atom: 0.677



Record 19
Compound: KCd2Ag
Source: the Alexandria database
Functional: GGA-PBEsol
Structure: optimized geometry

a b c (Å): 2.966 5.568 6.616
angles (deg): 114.89 102.96 90.00
Atoms (fractional coordinates):
Ag: 0.000 0.500 0.000
Cd: 0.708 0.708 0.417
Cd: 0.292 0.292 0.583
K: 0.500 0.000 0.000

Computed properties:
Space-group type: Immm (71)
Relative energy among the computed polymorphs, meV per atom: 28



Record 20
Compound: Cd3Pt2
Source: the Alexandria database
Functional: GGA-PBEsol
Structure: optimized geometry

a b c (Å): 4.526 4.526 5.461
angles (deg): 90.00 90.00 120.00
Atoms (fractional coordinates):
Pt: 0.333 0.667 0.858
Pt: 0.667 0.333 0.142
Cd: 0.000 0.000 0.000
Cd: 0.333 0.667 0.361
Cd: 0.667 0.333 0.639

Computed properties:
Space-group type: P-3m1 (164)
Relative energy among the computed polymorphs, meV per atom: 0



| no. | total DFT energy (no corrections) (Ry/atom) |
| --- | --- |
| 1 | -0.45366 |
| 2 | -0.50212 |
| 3 | -0.13250 |
| 4 | -0.43856 |
| 5 | -0.20601 |
| 6 | -0.40359 |
| 7 | -0.72948 |
| 8 | -0.61608 |
| 9 | -0.52597 |
| 10 | -0.78888 |
| 11 | -0.41815 |
| 12 | -0.33864 |
| 13 | -0.29842 |
| 14 | -0.43677 |
| 15 | -0.13957 |
| 16 | -0.27495 |
| 17 | -0.64072 |
| 18 | -0.39552 |
| 19 | -0.12127 |
| 20 | -0.27407 |